Here is an optimized crystal structure of Tl3SBr from Alexandria via LeMat-Bulk. Energies are from PBE.

a b c (Å): 7.3147 8.2532 7.5988
angles (deg): 113.72 118.77 90.00
Closest atoms and distances in Å follow each position.
Fractional coordinates of all 10 atoms:
1 Tl 0.9142 0.7226 0.3245  2 S 2.88-3.05
2 Tl 0.0770 0.2716 0.1540  2 S 2.84-3.10
3 Tl 0.4103 0.7226 0.3245  2 S 2.88-3.05
4 Tl 0.5897 0.2774 0.6755  2 S 2.88-3.05
5 Tl 0.0858 0.2774 0.6755  2 S 2.88-3.05
6 Tl 0.9230 0.7284 0.8460  2 S 2.84-3.10
7 S 0.8270 0.9725 0.6541  6 Tl 2.84-3.10
8 S 0.1730 0.0275 0.3459  6 Tl 2.84-3.10
9 Br 0.3496 0.6682 0.6992  5 Tl 3.28-3.65
10 Br 0.6504 0.3318 0.3008  5 Tl 3.28-3.65

## Properties
Energy relative to the lowest polymorph listed for this composition   13.0 meV per atom
Magnetization   0.000 μB per cell
Raw formation energy   -0.50 eV per atom